Ho5Tl2RuRh2: optimized geometry, GGA-PBE.

Values from the calculation:
E_form = -0.518 eV per atom
Final energy = -5.678 eV/atom
D(E_F) = 9.57 states/eV/cell
SG = P4/mbm (127)

Cell: 11.6628 11.6628 3.4839 Å, 90.00 90.00 90.00°
With the nearest neighbours (Å) after each atom.
Fractional positions:
Ho1 0.0000 0.5000 0.0000  4 Rh 2.82
Ho2 0.0662 0.1938 0.0000  2 Rh 2.77, 2 Ru 2.96
Ho3 0.1938 0.9338 0.0000  2 Rh 2.77, 2 Ru 2.96
Ho4 0.3062 0.4338 0.0000  2 Rh 2.77, 2 Ru 2.96
Ho5 0.4338 0.6938 0.0000  2 Rh 2.77, 2 Ru 2.96
Ho6 0.5000 0.0000 0.0000  4 Rh 2.82
Ho7 0.5662 0.3062 0.0000  2 Rh 2.77, 2 Ru 2.96
Ho8 0.6938 0.5662 0.0000  2 Rh 2.77, 2 Ru 2.96
Ho9 0.8062 0.0662 0.0000  2 Rh 2.77, 2 Ru 2.96
Ho10 0.9338 0.8062 0.0000  2 Rh 2.77, 2 Ru 2.96
Tl1 0.1770 0.6770 0.5000  1 Rh 3.11, 6 Ho 3.40-3.47, 2 Tl 3.48
Tl2 0.3230 0.1770 0.5000  1 Rh 3.11, 6 Ho 3.40-3.47, 2 Tl 3.48
Tl3 0.6770 0.8230 0.5000  1 Rh 3.11, 6 Ho 3.40-3.47, 2 Tl 3.48
Tl4 0.8230 0.3230 0.5000  1 Rh 3.11, 6 Ho 3.40-3.47, 2 Tl 3.48
Ru1 0.0000 0.0000 0.5000  8 Ho 2.96
Ru2 0.5000 0.5000 0.5000  8 Ho 2.96
Rh1 0.1342 0.3658 0.5000  6 Ho 2.77-2.82
Rh2 0.3658 0.8658 0.5000  6 Ho 2.77-2.82
Rh3 0.6342 0.1342 0.5000  6 Ho 2.77-2.82
Rh4 0.8658 0.6342 0.5000  6 Ho 2.77-2.82